Sr2Ca2Zn: optimized geometry, GGA-PBE.

Lattice parameters (Å, degrees): 3.952 3.952 25.253 90.00 90.00 90.00
Space group I4/mmm (No. 139)
One atom of each set of equivalent atoms:
Sr: 0.000 0.000 0.075 [4 per cell]
Ca: 0.000 0.000 0.304 [4 per cell]
Zn: 0.000 0.000 0.500 [2 per cell]

Total moment = 0.00 μB per formula unit
Formation enthalpy at 0 K = -34 kJ/mol of formula units
Energy above the most stable polymorph in this dataset = 0.000 eV/atom
Density = 2.7 g cm⁻³
Volume = 197.2 Å³/f.u.

In6HgS8: optimized geometry, GGA-PBE.

Lattice parameters (Å, degrees): 11.0956 11.0956 10.7921 90.00 90.00 120.00
Space group R-3 (No. 148, hexagonal axes)
One atom of each set of equivalent atoms:
In: 0.0696 0.5354 0.3295 [18 per cell]
Hg: 0.0000 0.0000 0.0000 [3 per cell]
S: 0.0000 0.0000 0.3263 [6 per cell]
S: 0.0010 0.3372 0.4999 [18 per cell]

Total moment = 0.00 μB per formula unit
Density = 5.0 g cm⁻³
ΔE_f (raw) = -0.396 eV per atom
Volume = 383.5 Å³/f.u.

TlAgS2: optimized geometry, GGA-PBE.

Lattice parameters (Å, degrees): 11.582 9.875 13.188 90.00 97.35 90.00
Space group C2/c (No. 15)
One atom of each set of equivalent atoms:
Tl: 0.061 0.100 0.115 [8 per cell]
Tl: 0.230 0.098 0.849 [8 per cell]
Ag: 0.070 0.476 0.374 [8 per cell]
Ag: 0.115 0.274 0.616 [8 per cell]
S: 0.000 0.093 0.750 [4 per cell]
S: 0.000 0.290 0.250 [4 per cell]
S: 0.059 0.350 0.017 [8 per cell]
S: 0.156 0.078 0.501 [8 per cell]
S: 0.202 0.389 0.775 [8 per cell]

Total moment = 0.00 μB per formula unit
Density = 6.7 g cm⁻³
ΔE_f (raw) = -0.006 eV per atom
Volume = 93.5 Å³/f.u.

- density of number 3 (TlAgS2)?
  6.7 g cm⁻³